Here is a relaxed Th3Pd crystal from the Alexandria database. Energies are from PBE.

CIF file:
```
data_Th3Pd
_chemical_formula_sum 'Th3 Pd1'
_cell_length_a 3.480
_cell_length_b 3.534
_cell_length_c 9.670
_cell_angle_alpha 90.00
_cell_angle_beta 90.00
_cell_angle_gamma 90.00
_symmetry_space_group_name_H-M 'P m m 2'
_symmetry_Int_Tables_number 25
loop_
_symmetry_equiv_pos_as_xyz
'x,y,z'
'-x,-y,z'
'-x,y,z'
'x,-y,z'
loop_
_atom_site_label
_atom_site_type_symbol
_atom_site_fract_x
_atom_site_fract_y
_atom_site_fract_z
Th1 Th 0.000 0.000 0.000
Th2 Th 0.000 0.500 0.309
Th3 Th 0.500 0.500 0.731
Pd1 Pd 0.500 0.000 0.484
```

Calculated values
Crystal system   orthorhombic
Energy relative to the lowest polymorph listed for this composition   0.2459 eV/atom

Here is a relaxed ThPd3 crystal from the Alexandria database. Energies are from PBE.

CIF file:
```
data_ThPd3
_chemical_formula_sum 'Th2 Pd6'
_cell_length_a 5.8901
_cell_length_b 5.8901
_cell_length_c 5.0272
_cell_angle_alpha 90.00
_cell_angle_beta 90.00
_cell_angle_gamma 120.00
_symmetry_space_group_name_H-M 'P 63/m m c'
_symmetry_Int_Tables_number 194
_symmetry_space_group_name_Hall '-P 6c 2c'
loop_
_atom_site_label
_atom_site_type_symbol
_atom_site_fract_x
_atom_site_fract_y
_atom_site_fract_z
Th1 Th 0.3333 0.6667 0.2500
Pd1 Pd 0.1607 0.3214 0.7500
```

Calculated values
Crystal system   hexagonal
VASP energy   -0.2452 Ha/atom

Here is a relaxed Th3Pd crystal from the Alexandria database. Energies are from PBE.

CIF file:
```
data_Th3Pd
_chemical_formula_sum 'Th6 Pd2'
_cell_length_a 7.124
_cell_length_b 3.739
_cell_length_c 8.863
_cell_angle_alpha 90.00
_cell_angle_beta 99.32
_cell_angle_gamma 90.00
_symmetry_space_group_name_H-M 'P 1 21/m 1'
_symmetry_Int_Tables_number 11
loop_
_symmetry_equiv_pos_as_xyz
'x,y,z'
'-x,-y,-z'
'-x,y+1/2,-z'
'x,-y+1/2,z'
loop_
_atom_site_label
_atom_site_type_symbol
_atom_site_fract_x
_atom_site_fract_y
_atom_site_fract_z
Th1 Th 0.079 0.250 0.346
Th2 Th 0.215 0.250 0.944
Th3 Th 0.390 0.750 0.626
Pd1 Pd 0.332 0.750 0.202
```

Calculated values
Crystal system   monoclinic
Energy relative to the lowest polymorph listed for this composition   0.0217 eV/atom

Here is a relaxed Th3Pd crystal from the Alexandria database. Energies are from PBE.

CIF file:
```
data_Th3Pd
_chemical_formula_sum 'Th6 Pd2'
_cell_length_a 3.613
_cell_length_b 10.586
_cell_length_c 5.957
_cell_angle_alpha 90.00
_cell_angle_beta 90.00
_cell_angle_gamma 90.00
_symmetry_space_group_name_H-M 'I m m 2'
_symmetry_Int_Tables_number 44
loop_
_symmetry_equiv_pos_as_xyz
'x,y,z'
'-x,-y,z'
'-x,y,z'
'x,-y,z'
'x+1/2,y+1/2,z+1/2'
'-x+1/2,-y+1/2,z+1/2'
'-x+1/2,y+1/2,z+1/2'
'x+1/2,-y+1/2,z+1/2'
loop_
_atom_site_label
_atom_site_type_symbol
_atom_site_fract_x
_atom_site_fract_y
_atom_site_fract_z
Th1 Th 0.000 0.000 0.000
Th2 Th 0.000 0.211 0.554
Pd1 Pd 0.000 0.500 0.905
```

Calculated values
Crystal system   orthorhombic
Energy relative to the lowest polymorph listed for this composition   0.0299 eV/atom